# 1
An optimized crystal structure of KBa2Se. Source: the Alexandria database, functional PBE.

Cell and atoms, written as CIF:
```
data_KBa2Se
_symmetry_space_group_name_H-M 'P 1'
_symmetry_Int_Tables_number 1
_cell_length_a 4.5724
_cell_length_b 4.5724
_cell_length_c 11.7130
_cell_angle_alpha 90.00
_cell_angle_beta 90.00
_cell_angle_gamma 90.00
loop_
_symmetry_equiv_pos_as_xyz
'x,y,z'
loop_
_atom_site_label
_atom_site_type_symbol
_atom_site_fract_x
_atom_site_fract_y
_atom_site_fract_z
Ba1 Ba 0.0000 0.0000 0.8939
Ba2 Ba 0.5000 0.5000 0.1946
K1 K 0.0000 0.0000 0.4877
Se1 Se 0.5000 0.5000 0.9238
```

Results
Formation energy from raw total energies, kcal/mol of atoms: -19.50
Space group: P4mm, No. 99
Density of states at the Fermi level, states/eV/atom: 0.629

---

# 2
An optimized crystal structure of Ta4Nb4Os. Source: the Alexandria database, functional PBE.

Cell and atoms, written as CIF:
```
data_Ta4Nb4Os
_symmetry_space_group_name_H-M 'P 1'
_symmetry_Int_Tables_number 1
_cell_length_a 3.2512
_cell_length_b 7.1761
_cell_length_c 7.1761
_cell_angle_alpha 87.06
_cell_angle_beta 76.91
_cell_angle_gamma 76.91
loop_
_symmetry_equiv_pos_as_xyz
'x,y,z'
loop_
_atom_site_label
_atom_site_type_symbol
_atom_site_fract_x
_atom_site_fract_y
_atom_site_fract_z
Ta1 Ta 0.1626 0.1748 0.9999
Ta2 Ta 0.8374 0.8252 0.0001
Ta3 Ta 0.8374 0.4999 0.3252
Ta4 Ta 0.1626 0.5001 0.6748
Nb1 Nb 0.5001 0.1673 0.3326
Nb2 Nb 0.4999 0.8327 0.6674
Nb3 Nb 0.1673 0.8326 0.3327
Nb4 Nb 0.8327 0.1674 0.6673
Os1 Os 0.5000 0.5000 0.0000
```

Results
Space group: I4/mmm, No. 139
Density of states at the Fermi level, states/eV/atom: 1.113
Formation energy, eV/f.u.: -1.5

---

# 3
An optimized crystal structure of SrMgNi2. Source: the Alexandria database, functional PBE.

Cell and atoms, written as CIF:
```
data_SrMgNi2
_symmetry_space_group_name_H-M 'P 1'
_symmetry_Int_Tables_number 1
_cell_length_a 4.7683
_cell_length_b 4.7683
_cell_length_c 3.3117
_cell_angle_alpha 90.00
_cell_angle_beta 90.00
_cell_angle_gamma 89.86
loop_
_symmetry_equiv_pos_as_xyz
'x,y,z'
loop_
_atom_site_label
_atom_site_type_symbol
_atom_site_fract_x
_atom_site_fract_y
_atom_site_fract_z
Mg1 Mg 0.0000 0.5000 0.5000
Ni1 Ni 0.0000 0.0000 0.0000
Ni2 Ni 0.5000 0.5000 0.0000
Sr1 Sr 0.5000 0.0000 0.5000
```

Results
Space group: Cmmm, No. 65
Density of states at the Fermi level, states/eV/atom: 0.746
Formation energy, eV/f.u.: 0.8

---

# 4
An optimized crystal structure of KLi2NdI6. Source: the Alexandria database, functional PBE.

Cell and atoms, written as CIF:
```
data_KLi2NdI6
_symmetry_space_group_name_H-M 'P 1'
_symmetry_Int_Tables_number 1
_cell_length_a 7.9485
_cell_length_b 7.9455
_cell_length_c 8.5666
_cell_angle_alpha 62.35
_cell_angle_beta 62.35
_cell_angle_gamma 59.99
loop_
_symmetry_equiv_pos_as_xyz
'x,y,z'
loop_
_atom_site_label
_atom_site_type_symbol
_atom_site_fract_x
_atom_site_fract_y
_atom_site_fract_z
K1 K 0.8063 0.8061 0.5812
Li1 Li 0.5113 0.5116 0.4660
Li2 Li 0.0060 0.0066 0.9811
Nd1 Nd 0.3219 0.3218 0.0345
I1 I 0.6039 0.2569 0.2352
I2 I 0.2570 0.9037 0.2354
I3 I 0.9039 0.6039 0.2352
I4 I 0.3478 0.7451 0.7489
I5 I 0.7450 0.1583 0.7488
I6 I 0.1584 0.3477 0.7490
```

Results
Formation energy from raw total energies, kcal/mol of atoms: -30.25
Space group: R3, No. 146
Density of states at the Fermi level, states/eV/atom: 0.000

---

# 5
An optimized crystal structure of MgTaHIr2. Source: the Alexandria database, functional PBE.

Cell and atoms, written as CIF:
```
data_MgTaHIr2
_symmetry_space_group_name_H-M 'P 1'
_symmetry_Int_Tables_number 1
_cell_length_a 4.7495
_cell_length_b 5.6387
_cell_length_c 4.7495
_cell_angle_alpha 90.00
_cell_angle_beta 90.00
_cell_angle_gamma 90.00
loop_
_symmetry_equiv_pos_as_xyz
'x,y,z'
loop_
_atom_site_label
_atom_site_type_symbol
_atom_site_fract_x
_atom_site_fract_y
_atom_site_fract_z
H1 H 0.5000 0.5000 0.5000
Mg1 Mg 0.0000 0.5000 0.0000
Ir1 Ir 0.0000 0.0000 0.5000
Ir2 Ir 0.5000 0.0000 0.0000
Ta1 Ta 0.0000 0.0000 0.0000
```

Results
Space group: P4/mmm, No. 123
Density of states at the Fermi level, states/eV/atom: 0.662

---

# 6
An optimized crystal structure of GdTh2Sc. Source: the Alexandria database, functional PBE.

Cell and atoms, written as CIF:
```
data_GdTh2Sc
_symmetry_space_group_name_H-M 'P 1'
_symmetry_Int_Tables_number 1
_cell_length_a 3.5245
_cell_length_b 3.5245
_cell_length_c 11.3722
_cell_angle_alpha 81.09
_cell_angle_beta 81.09
_cell_angle_gamma 60.00
loop_
_symmetry_equiv_pos_as_xyz
'x,y,z'
loop_
_atom_site_label
_atom_site_type_symbol
_atom_site_fract_x
_atom_site_fract_y
_atom_site_fract_z
Sc1 Sc 0.0000 0.0000 0.0000
Gd1 Gd 0.5000 0.5000 0.5000
Th1 Th 0.7473 0.7473 0.7580
Th2 Th 0.2527 0.2527 0.2420
```

Results
Space group: R-3m, No. 166
Density of states at the Fermi level, states/eV/atom: 1.546
Formation energy, eV/f.u.: 0.2

---

# 7
An optimized crystal structure of PmGdNi. Source: the Alexandria database, functional PBE.

Cell and atoms, written as CIF:
```
data_PmGdNi
_symmetry_space_group_name_H-M 'P 1'
_symmetry_Int_Tables_number 1
_cell_length_a 3.4701
_cell_length_b 3.4701
_cell_length_c 6.7953
_cell_angle_alpha 104.79
_cell_angle_beta 104.79
_cell_angle_gamma 90.00
loop_
_symmetry_equiv_pos_as_xyz
'x,y,z'
loop_
_atom_site_label
_atom_site_type_symbol
_atom_site_fract_x
_atom_site_fract_y
_atom_site_fract_z
Ni1 Ni 0.6633 0.6633 0.3267
Gd1 Gd 0.0385 0.0385 0.0770
Pm1 Pm 0.2982 0.2982 0.5963
```

Results
Space group: I4mm, No. 107
Density of states at the Fermi level, states/eV/atom: 1.241
Formation energy, eV/f.u.: -0.5

---

# 8
An optimized crystal structure of NaSiSbO2. Source: the Alexandria database, functional PBE.

Cell and atoms, written as CIF:
```
data_NaSiSbO2
_symmetry_space_group_name_H-M 'P 1'
_symmetry_Int_Tables_number 1
_cell_length_a 3.5724
_cell_length_b 8.7477
_cell_length_c 3.5724
_cell_angle_alpha 90.00
_cell_angle_beta 90.00
_cell_angle_gamma 90.00
loop_
_symmetry_equiv_pos_as_xyz
'x,y,z'
loop_
_atom_site_label
_atom_site_type_symbol
_atom_site_fract_x
_atom_site_fract_y
_atom_site_fract_z
Sb1 Sb 0.5000 0.5000 0.5000
Si1 Si 0.0000 0.0000 0.0000
O1 O 0.0000 0.0000 0.5000
O2 O 0.5000 0.0000 0.0000
Na1 Na 0.0000 0.5000 0.0000
```

Results
Formation energy from raw total energies, kcal/mol of atoms: -9.47
Space group: P4/mmm, No. 123
Density of states at the Fermi level, states/eV/atom: 0.398

---

The records above give, respectively, E values of -2.95; -11.16; -3.51; -3.21; -5.17; -8.77; -8.38; -4.57 eV per atom.